Entry 1:
The following is a DFT calculation (GGA-PBE) of an optimized crystal structure of CoIrBr.

It has space group Fmm2 (No. 42), with a = 2.8710 Å, b = 4.9421 Å, c = 15.0360 Å, α = 90.00°, β = 90.00° and γ = 90.00°. Symmetry generates all atoms from Co at (0.0000, 0.0000, 0.0000), Ir at (0.0000, 0.0000, 0.3670) and Br at (0.0000, 0.0000, 0.6395).

The formation energy without anion corrections is 0.81 eV per atom. The calculation puts the energy at -15.21 eV per formula unit. The calculation puts the energy above the most stable polymorph in this dataset at 31 kJ/mol of formula units. Its volume is 53.34 Å³/f.u. Its spin magnetization is 3.0 μB/f.u.


Entry 2:
The following is a DFT calculation (GGA-PBE) of an optimized crystal structure of Ce4ZrAs5.

It has space group I4/m (No. 87), with a = 9.2457 Å, b = 9.2457 Å, c = 5.8678 Å, α = 90.00°, β = 90.00° and γ = 90.00°. Symmetry generates all atoms from Ce at (0.0963, 0.7000, 0.0000), Zr at (0.0000, 0.0000, 0.5000), As at (0.0000, 0.0000, 0.0000) and As at (0.0976, 0.7108, 0.5000).

The calculation puts the energy at -69.05 eV per formula unit. The calculation puts the energy above the most stable polymorph in this dataset at 0 kJ/mol of formula units. Its volume is 250.80 Å³/f.u. The energy of formation comes out at -1352 meV/atom. Its spin magnetization is 2.5 μB/f.u.


Entry 3:
The following is a DFT calculation (GGA-PBE) of an optimized crystal structure of Np2Si7Au12.

It has space group P-3 (No. 147), with a = 10.1630 Å, b = 10.1630 Å, c = 4.3247 Å, α = 90.00°, β = 90.00° and γ = 120.00°. Symmetry generates all atoms from Np at (0.3333, 0.6667, 0.2465), Si at (0.0000, 0.0000, 0.5000), Si at (0.1169, 0.4044, 0.7288), Au at (0.0664, 0.6160, 0.7532) and Au at (0.1180, 0.8562, 0.2212).

The formation energy without anion corrections is -0.06 eV per atom. The calculation puts the energy at -104.45 eV per formula unit. Its volume is 386.85 Å³/f.u. Its spin magnetization is 8.3 μB/f.u.